(1)
{
  "formula": "Sc3FeCo",
  "functional": "PBE",
  "state": "optimized geometry",
  "lattice_angstrom": [[-1.6744, -3.3478, 2.8664], [3.1993, 1.1857, 3.2536], [-3.0312, 3.1006, 1.8507]],
  "species": ["Sc", "Sc", "Sc", "Fe", "Co"],
  "fractional_positions": [[0.5000, 0.0000, 0.0000], [0.0000, 0.0000, 0.5000], [0.0000, 0.5000, 0.0000], [0.0000, 0.0000, 0.0000], [0.5000, 0.5000, 0.5000]],
  "space_group": "Pm-3m (221)",
  "e_form_ev_per_fu": 1.90
}

---

(2)
{
  "formula": "Sc2FeCo3",
  "functional": "PBE",
  "state": "optimized geometry",
  "lattice_angstrom": [[4.3903, -0.1342, -2.3131], [-2.7907, 4.1003, -0.2054], [-0.2609, 0.0675, 4.8307]],
  "species": ["Co", "Co", "Co", "Fe", "Sc", "Sc"],
  "fractional_positions": [[0.5000, 0.5000, 0.5000], [0.0000, 0.0000, 0.5000], [0.5000, 0.0000, 0.5000], [0.0000, 0.0000, 0.0000], [0.7476, 0.3738, 0.1214], [0.2524, 0.6262, 0.8786]],
  "space_group": "R-3m (166)",
  "e_form_ev_per_fu": -2.06
}

---

(3)
{
  "formula": "ScFe2Co",
  "functional": "PBE",
  "state": "optimized geometry",
  "lattice_angstrom": [[4.2082, 0.0000, 0.0000], [2.1041, 3.6444, 0.0000], [2.1041, 1.2148, 3.4360]],
  "species": ["Fe", "Fe", "Co", "Sc"],
  "fractional_positions": [[0.2500, 0.2500, 0.2500], [0.0000, 0.0000, 0.0000], [0.5000, 0.5000, 0.5000], [0.7500, 0.7500, 0.7500]],
  "space_group": "F-43m (216)",
  "e_form_ev_per_fu": -0.25
}

---

(4)
{
  "formula": "ScFe2Co",
  "functional": "PBE",
  "state": "optimized geometry",
  "lattice_angstrom": [[2.9956, 0.0000, 0.0000], [0.0000, 2.9955, 0.0000], [0.0000, 0.0000, 6.0322]],
  "species": ["Co", "Fe", "Fe", "Sc"],
  "fractional_positions": [[0.5000, 0.5000, 0.7842], [0.5000, 0.5000, 0.2167], [0.0000, 0.0000, 0.9988], [0.0000, 0.0000, 0.5003]],
  "space_group": "P4mm (99)",
  "e_form_ev_per_fu": -0.16
}

---

(5)
{
  "formula": "Sc2FeCo",
  "functional": "PBE",
  "state": "optimized geometry",
  "lattice_angstrom": [[6.6425, 1.8123, 5.8580], [6.0274, -0.9988, 6.6630], [7.8902, -0.4700, 4.3872]],
  "species": ["Sc", "Sc", "Co", "Fe"],
  "fractional_positions": [[0.9057, 0.9057, 0.9057], [0.0943, 0.0943, 0.0943], [0.5000, 0.5000, 0.5000], [0.0000, 0.0000, 0.0000]],
  "space_group": "R-3m (166)",
  "e_form_ev_per_fu": 1.49
}

---

(6)
{
  "formula": "ScFe2Co",
  "functional": "PBE",
  "state": "optimized geometry",
  "lattice_angstrom": [[-2.3691, 3.9755, -1.1955], [-0.1958, -1.2847, 4.6836], [1.6039, 1.8869, 1.1217]],
  "species": ["Fe", "Fe", "Sc", "Co"],
  "fractional_positions": [[0.5000, 0.0000, 0.5000], [0.0000, 0.0000, 0.0000], [0.0000, 0.5000, 0.5000], [0.5000, 0.5000, 0.0000]],
  "space_group": "C2/m (12)",
  "e_form_ev_per_fu": 0.23
}

---

(7)
{
  "formula": "Sc2FeCo",
  "functional": "PBE",
  "state": "optimized geometry",
  "lattice_angstrom": [[8.7940, -0.0284, -0.0167], [8.2703, 2.9895, -0.0167], [8.2703, 1.4351, 2.6226]],
  "species": ["Sc", "Sc", "Fe", "Co"],
  "fractional_positions": [[0.0126, 0.0126, 0.0126], [0.2342, 0.2342, 0.2342], [0.7616, 0.7616, 0.7616], [0.4916, 0.4916, 0.4916]],
  "space_group": "R3m (160)",
  "e_form_ev_per_fu": 0.94
}

---

(8)
{
  "formula": "ScFe3Co",
  "functional": "PBE",
  "state": "optimized geometry",
  "lattice_angstrom": [[4.3414, 0.0000, 0.0000], [0.0000, 4.3414, 0.0000], [0.0000, 0.0000, 4.3414]],
  "species": ["Fe", "Fe", "Fe", "Co", "Sc"],
  "fractional_positions": [[0.0000, 0.5000, 0.0000], [0.5000, 0.0000, 0.0000], [0.0000, 0.0000, 0.5000], [0.0000, 0.0000, 0.0000], [0.5000, 0.5000, 0.5000]],
  "space_group": "Pm-3m (221)",
  "e_form_ev_per_fu": 2.82
}